1.
Below is TlTe2RuRh after structural relaxation, with properties calculated at the PBE level.

POSCAR file:
```
TlTe2RuRh
1.0
5.3119 0.0000 0.0000
0.0000 4.7806 0.0000
0.0000 0.0000 5.3119
Tl Te Rh Ru
1 2 1 1
direct
0.5000 0.5000 0.5000 Tl
0.0000 0.0000 0.5000 Te
0.5000 0.0000 0.0000 Te
0.0000 0.0000 0.0000 Rh
0.0000 0.5000 0.0000 Ru
```

Properties
As for the formation energy without anion corrections: 0.71 eV per atom.

=====

2.
Below is Th3RuRh2 after structural relaxation, with properties calculated at the PBE level.

POSCAR file:
```
Th3RuRh2
1.0
-5.6864 -0.0021 1.0297
1.3055 -3.6768 7.2042
0.9719 10.9060 5.3899
Th Rh Ru
12 8 4
direct
0.2494 0.6251 0.2494 Th
0.7506 0.8749 0.7494 Th
0.2501 0.6189 0.5817 Th
0.2501 0.1189 0.9183 Th
0.2503 0.1329 0.5806 Th
0.7499 0.3811 0.4183 Th
0.7497 0.8671 0.4194 Th
0.2503 0.6329 0.9194 Th
0.7497 0.3671 0.0806 Th
0.2494 0.1251 0.2506 Th
0.7499 0.8811 0.0817 Th
0.7506 0.3749 0.7506 Th
0.2497 0.8759 0.4179 Rh
0.7494 0.1237 0.2549 Rh
0.2497 0.3759 0.0821 Rh
0.2506 0.3763 0.7549 Rh
0.7494 0.6237 0.2451 Rh
0.7503 0.1241 0.5821 Rh
0.2506 0.8763 0.7451 Rh
0.7503 0.6241 0.9179 Rh
0.2499 0.3739 0.4131 Ru
0.7501 0.1261 0.9131 Ru
0.7501 0.6261 0.5869 Ru
0.2499 0.8739 0.0869 Ru
```

Properties
For the energy of formation from the pure elements, the calculation gives -0.75 eV/atom.

=====

Across the entries above, total magnetic moment takes the values 0.01 0.00 μB/cell, respectively.
Across the entries above, density takes the values 8.17 11.53 g/cm³, respectively.